Record 1
# Ce4MnBr5, relaxed, DFT PBE-GGA
data_Ce4MnBr5
_chemical_formula_sum 'Ce8 Mn2 Br10'
_symmetry_space_group_name_H-M 'C 1 2/m 1'
_symmetry_Int_Tables_number 12
_symmetry_space_group_name_Hall '-C 2y'
_cell_length_a 18.149
_cell_length_b 4.157
_cell_length_c 8.852
_cell_angle_alpha 90.00
_cell_angle_beta 104.53
_cell_angle_gamma 90.00
loop_
_atom_site_label
_atom_site_fract_x
_atom_site_fract_y
_atom_site_fract_z
Ce1 0.000 0.000 0.224
Ce2 0.138 0.500 0.074
Mn1 0.000 0.500 0.000
Br1 0.000 0.500 0.500
Br2 0.169 0.000 0.331
Br3 0.173 0.000 0.843
# Crystal system ... monoclinic
# Formation energy (no corrections) ... -1.20 eV per atom
# N(E_F) ... 22.16 states/eV/f.u.



Record 2
# CeMnBr6, relaxed, DFT PBE-GGA
data_CeMnBr6
_chemical_formula_sum 'Ce2 Mn2 Br12'
_symmetry_space_group_name_H-M 'C 1 2/m 1'
_symmetry_Int_Tables_number 12
_symmetry_space_group_name_Hall '-C 2y'
_cell_length_a 7.184
_cell_length_b 12.482
_cell_length_c 6.898
_cell_angle_alpha 90.00
_cell_angle_beta 91.27
_cell_angle_gamma 90.00
loop_
_atom_site_label
_atom_site_fract_x
_atom_site_fract_y
_atom_site_fract_z
Ce1 0.000 0.000 0.000
Mn1 0.000 0.000 0.500
Br1 0.149 0.148 0.739
Br2 0.203 0.500 0.728
# Crystal system ... monoclinic
# Formation energy (no corrections) ... -1.26 eV per atom
# N(E_F) ... 2.15 states/eV/f.u.



Number 1: raw total energy -5.330 eV/atom. Number 2: raw total energy -4.406 eV/atom.